Compound: Sb2Rh
Source: Alexandria via LeMat-Bulk
Functional: meta-GGA SCAN
Structure: single point on PBEsol structure

Properties
For the magnetization, the calculation gives 0.00 μB/f.u. Its density of states at the Fermi level is 0.28 states/eV/cell. Its symmetry is No. 14. The calculated total energy comes out at -36.66 eV per atom.

Unit cell a=6.611 b=6.556 c=6.691 alpha=90.00 beta=116.63 gamma=90.00
Fractional positions:
Sb  0.150  0.137  0.374
Sb  0.150  0.363  0.874
Sb  0.345  0.639  0.676
Sb  0.345  0.861  0.176
Sb  0.655  0.139  0.824
Sb  0.655  0.361  0.324
Sb  0.850  0.637  0.126
Sb  0.850  0.863  0.626
Rh  0.272  0.001  0.789
Rh  0.272  0.499  0.289
Rh  0.728  0.501  0.711
Rh  0.728  0.999  0.211

---

Compound: GaNi3
Source: Alexandria via LeMat-Bulk
Functional: meta-GGA SCAN
Structure: single point on PBEsol structure

Properties
For the magnetization, the calculation gives 0.98 μB/f.u. Its density of states at the Fermi level is 6.16 states/eV/cell. Its formation energy from the elements is -1.04 eV per formula unit. Its symmetry is No. 194. The calculated total energy comes out at -16.48 eV per atom.

Unit cell a=5.011 b=5.011 c=4.032 alpha=90.00 beta=90.00 gamma=120.00
Fractional positions:
Ga  0.333  0.667  0.250
Ga  0.667  0.333  0.750
Ni  0.164  0.329  0.750
Ni  0.164  0.836  0.750
Ni  0.329  0.164  0.250
Ni  0.671  0.836  0.750
Ni  0.836  0.164  0.250
Ni  0.836  0.671  0.250

---

Compound: TlSbBr2
Source: Alexandria via LeMat-Bulk
Functional: meta-GGA SCAN
Structure: single point on PBEsol structure

Properties
For the magnetization, the calculation gives 0.00 μB/f.u. Its density of states at the Fermi level is 1.58 states/eV/cell. Its symmetry is No. 99. The calculated total energy comes out at -37.30 eV per atom.

Unit cell a=3.908 b=3.908 c=8.149 alpha=90.00 beta=90.00 gamma=90.00
Fractional positions:
Tl  0.000  0.000  0.000
Sb  0.500  0.500  0.653
Br  0.000  0.000  0.542
Br  0.500  0.500  0.182

---

Compound: HoNi3
Source: Alexandria via LeMat-Bulk
Functional: meta-GGA SCAN
Structure: single point on PBEsol structure

Properties
For the magnetization, the calculation gives 0.73 μB/f.u. Its density of states at the Fermi level is 8.43 states/eV/cell. Its formation energy from the elements is -1.70 eV per formula unit. Its symmetry is No. 166. The calculated total energy comes out at -24.80 eV per atom.

Unit cell a=8.447 b=8.447 c=8.447 alpha=33.43 beta=33.43 gamma=33.43
Fractional positions:
Ho  0.000  0.000  0.000
Ho  0.139  0.139  0.139
Ho  0.861  0.861  0.861
Ni  0.081  0.583  0.583
Ni  0.333  0.333  0.333
Ni  0.417  0.417  0.919
Ni  0.417  0.919  0.417
Ni  0.500  0.500  0.500
Ni  0.583  0.081  0.583
Ni  0.583  0.583  0.081
Ni  0.667  0.667  0.667
Ni  0.919  0.417  0.417

---

Compound: TlFeP2
Source: Alexandria via LeMat-Bulk
Functional: meta-GGA SCAN
Structure: single point on PBEsol structure

Properties
For the magnetization, the calculation gives 2.92 μB/f.u. Its density of states at the Fermi level is 3.03 states/eV/cell. The energy above the most stable polymorph in this dataset comes out at 755 meV/atom. Its formation energy from the elements is 3.49 eV per formula unit. Its symmetry is No. 225. The calculated total energy comes out at -26.95 eV per atom.

Unit cell a=4.488 b=4.488 c=4.488 alpha=60.00 beta=60.00 gamma=60.00
Fractional positions:
Tl  0.000  0.000  0.000
Fe  0.500  0.500  0.500
P  0.250  0.250  0.250
P  0.750  0.750  0.750

---

Compound: CaTlAg2
Source: Alexandria via LeMat-Bulk
Functional: meta-GGA SCAN
Structure: single point on PBEsol structure

Properties
For the magnetization, the calculation gives 0.00 μB/f.u. Its density of states at the Fermi level is 1.48 states/eV/cell. Its formation energy from the elements is -0.65 eV per formula unit. Its symmetry is No. 123. The calculated total energy comes out at -36.35 eV per atom.

Unit cell a=3.709 b=3.709 c=6.457 alpha=90.00 beta=90.00 gamma=90.00
Fractional positions:
Ca  0.000  0.000  0.000
Tl  0.000  0.000  0.500
Ag  0.500  0.500  0.258
Ag  0.500  0.500  0.742